The following is a DFT calculation (GGA-PBE) of a relaxed Tb6CeNd crystal.

Values from the calculation:
Formation enthalpy at 0 K: 0.2088 eV per atom
Relative energy among the computed polymorphs: 0.167 eV/atom
Calculated volume: 257.9 Å³/cell
Size of the total moment: 1.37 μB/f.u.
N(E_F): 16.05 states/eV/f.u.

The structure in CIF format:
```
data_Tb6CeNd
_chemical_formula_sum 'Tb6 Ce1 Nd1'
_cell_length_a 6.5352
_cell_length_b 6.6073
_cell_length_c 7.5060
_cell_angle_alpha 114.99
_cell_angle_beta 115.72
_cell_angle_gamma 90.00
_space_group_name_H-M_alt 'P -1'
_space_group_IT_number 2
loop_
_space_group_symop_operation_xyz
'x,y,z'
'-x,-y,-z'
loop_
_atom_site_label
_atom_site_fract_x
_atom_site_fract_y
_atom_site_fract_z
_atom_site_occupancy
Tb1 0.2313 0.4109 0.4625 1
Tb2 0.2487 0.9996 0.0001 1
Tb3 0.2599 0.9380 0.5198 1
Ce1 0.0000 0.5000 0.0000 1
Nd1 0.5000 0.5000 0.0000 1
```



The following is a DFT calculation (GGA-PBE) of a relaxed Tb6CeNd10 crystal.

Values from the calculation:
Formation enthalpy at 0 K: 0.1489 eV per atom
Calculated volume: 586.0 Å³/cell
Size of the total moment: 0.77 μB/f.u.
N(E_F): 28.55 states/eV/f.u.

The structure in CIF format:
```
data_Tb6CeNd10
_chemical_formula_sum 'Tb6 Ce1 Nd10'
_cell_length_a 9.8715
_cell_length_b 9.8715
_cell_length_c 6.9442
_cell_angle_alpha 90.00
_cell_angle_beta 90.00
_cell_angle_gamma 120.00
_space_group_name_H-M_alt 'P -3 1 m'
_space_group_IT_number 162
_space_group_name_Hall '-P 3 2'
loop_
_atom_site_label
_atom_site_fract_x
_atom_site_fract_y
_atom_site_fract_z
_atom_site_occupancy
Tb1 0.0000 0.3729 0.1948 1
Ce1 0.0000 0.0000 0.0000 1
Nd1 0.0000 0.2721 0.6863 1
Nd2 0.3333 0.6667 0.0000 1
Nd3 0.3333 0.6667 0.5000 1
```



The following is a DFT calculation (GGA-PBE) of a relaxed TbCeNd2 crystal.

Values from the calculation:
Formation enthalpy at 0 K: 0.0783 eV per atom
Relative energy among the computed polymorphs: 0.018 eV/atom
Calculated volume: 132.6 Å³/cell
Size of the total moment: 0.72 μB/f.u.
N(E_F): 8.33 states/eV/f.u.

The structure in CIF format:
```
data_TbCeNd2
_chemical_formula_sum 'Tb1 Ce1 Nd2'
_cell_length_a 5.0997
_cell_length_b 5.0997
_cell_length_c 5.0988
_cell_angle_alpha 90.00
_cell_angle_beta 90.00
_cell_angle_gamma 90.00
_space_group_name_H-M_alt 'P 4/m m m'
_space_group_IT_number 123
_space_group_name_Hall '-P 4 2'
loop_
_atom_site_label
_atom_site_fract_x
_atom_site_fract_y
_atom_site_fract_z
_atom_site_occupancy
Tb1 0.0000 0.0000 0.0000 1
Ce1 0.5000 0.5000 0.0000 1
Nd1 0.0000 0.5000 0.5000 1
```



The following is a DFT calculation (GGA-PBE) of a relaxed Tb6CeNd12 crystal.

Values from the calculation:
Formation enthalpy at 0 K: 0.0284 eV per atom
Calculated volume: 1943.8 Å³/cell
Size of the total moment: 1.22 μB/f.u.
N(E_F): 31.96 states/eV/f.u.

The structure in CIF format:
```
data_Tb6CeNd12
_chemical_formula_sum 'Tb18 Ce3 Nd36'
_cell_length_a 15.8685
_cell_length_b 15.8685
_cell_length_c 8.9133
_cell_angle_alpha 90.00
_cell_angle_beta 90.00
_cell_angle_gamma 120.00
_space_group_name_H-M_alt 'R -3'
_space_group_IT_number 148
_space_group_name_Hall '-R 3'
loop_
_atom_site_label
_atom_site_fract_x
_atom_site_fract_y
_atom_site_fract_z
_atom_site_occupancy
Tb1 0.0170 0.1378 0.1674 1
Ce1 0.0000 0.0000 0.5000 1
Nd1 0.0356 0.2792 0.8363 1
Nd2 0.0725 0.5624 0.1668 1
```



The following is a DFT calculation (GGA-PBE) of a relaxed Tb6CeNd3 crystal.

Values from the calculation:
Formation enthalpy at 0 K: 0.3021 eV per atom
Relative energy among the computed polymorphs: 0.144 eV/atom
Calculated volume: 698.0 Å³/cell
Size of the total moment: 1.16 μB/f.u.
N(E_F): 18.18 states/eV/f.u.

The structure in CIF format:
```
data_Tb6CeNd3
_chemical_formula_sum 'Tb12 Ce2 Nd6'
_cell_length_a 9.1232
_cell_length_b 8.6857
_cell_length_c 8.9586
_cell_angle_alpha 90.00
_cell_angle_beta 100.48
_cell_angle_gamma 90.00
_space_group_name_H-M_alt 'C 1 2/m 1'
_space_group_IT_number 12
loop_
_space_group_symop_operation_xyz
'x,y,z'
'-x,-y,-z'
'-x,y,-z'
'x,-y,z'
'x+1/2,y+1/2,z'
'-x+1/2,-y+1/2,-z'
'-x+1/2,y+1/2,-z'
'x+1/2,-y+1/2,z'
loop_
_atom_site_label
_atom_site_fract_x
_atom_site_fract_y
_atom_site_fract_z
_atom_site_occupancy
Tb1 0.1181 0.0000 0.3698 1
Tb2 0.1204 0.3188 0.8548 1
Ce1 0.0000 0.0000 0.0000 1
Nd1 0.0000 0.5000 0.5000 1
Nd2 0.2207 0.5000 0.2321 1
```



The following is a DFT calculation (GGA-PBE) of a relaxed Tb4CeNd7 crystal.

Values from the calculation:
Formation enthalpy at 0 K: 0.0272 eV per atom
Calculated volume: 407.6 Å³/cell
Size of the total moment: 1.04 μB/f.u.
N(E_F): 20.36 states/eV/f.u.

The structure in CIF format:
```
data_Tb4CeNd7
_chemical_formula_sum 'Tb4 Ce1 Nd7'
_cell_length_a 6.3549
_cell_length_b 7.3074
_cell_length_c 9.0290
_cell_angle_alpha 90.01
_cell_angle_beta 103.56
_cell_angle_gamma 90.02
_space_group_name_H-M_alt 'P -1'
_space_group_IT_number 2
loop_
_space_group_symop_operation_xyz
'x,y,z'
'-x,-y,-z'
loop_
_atom_site_label
_atom_site_fract_x
_atom_site_fract_y
_atom_site_fract_z
_atom_site_occupancy
Tb1 0.2188 0.0000 0.1640 1
Tb2 0.2763 0.2489 0.8313 1
Ce1 0.0000 0.5000 0.5000 1
Nd1 0.0000 0.0000 0.5000 1
Nd2 0.2194 0.5006 0.1690 1
Nd3 0.2780 0.7487 0.8327 1
Nd4 0.5002 0.2511 0.5011 1
```



- The lowest size of the total moment belongs to which entry?
  TbCeNd2



- calculated volume of number 5 (Tb6CeNd3)?
  698.0 Å³/cell